Below is a relaxed structure of PaBi2S6, with properties calculated at the PBE-GGA level.

Volume, Å³/f.u.: 214.3
Energy relative to the lowest polymorph listed for this composition, meV per atom: 58

abc: 6.7088 8.5484 8.5484
angles: 69.82 72.62 72.62
With the nearest neighbours (Å) after each atom.
Positions (direct):
Bi  0.4017  0.7246  0.8498  5 S 2.69-2.99
S  0.3413  0.6705  0.5405  2 Pa 2.72-2.76, 1 Bi 2.99
S  0.8413  0.5405  0.6705  2 Pa 2.72-2.76, 1 Bi 2.99
Pa  0.2500  0.3514  0.6486  8 S 2.72-2.97
Bi  0.5983  0.2754  0.1502  5 S 2.69-2.99
Bi  0.9017  0.8498  0.7246  5 S 2.69-2.99
S  0.5098  0.0303  0.8323  2 Bi 2.69-2.86, 1 S 2.70, 1 Pa 2.97
S  0.8262  0.9277  0.4001  2 Bi 2.76-2.79, 1 Pa 2.77
S  0.9902  0.1677  0.9697  2 Bi 2.69-2.86, 1 S 2.70, 1 Pa 2.97
S  0.1587  0.4595  0.3295  2 Pa 2.72-2.76, 1 Bi 2.99
S  0.4902  0.9697  0.1677  2 Bi 2.69-2.86, 1 S 2.70, 1 Pa 2.97
Bi  0.0983  0.1502  0.2754  5 S 2.69-2.99
S  0.6738  0.5999  0.0723  2 Bi 2.76-2.79, 1 Pa 2.77
S  0.6587  0.3295  0.4595  2 Pa 2.72-2.76, 1 Bi 2.99
S  0.1738  0.0723  0.5999  2 Bi 2.76-2.79, 1 Pa 2.77
S  0.0098  0.8323  0.0303  2 Bi 2.69-2.86, 1 S 2.70, 1 Pa 2.97
S  0.3262  0.4001  0.9277  2 Bi 2.76-2.79, 1 Pa 2.77
Pa  0.7500  0.6486  0.3514  8 S 2.72-2.97

---

Below is a relaxed structure of LiVFe3, with properties calculated at the PBE-GGA level.

Formation energy from the elements, meV per atom: 961
Volume, Å³/f.u.: 79.8
Energy relative to the lowest polymorph listed for this composition, meV per atom: 62

abc: 4.3059 4.3059 4.3059
angles: 90.00 90.00 90.00
With the nearest neighbours (Å) after each atom.
Positions (direct):
Li  0.5000  0.5000  0.5000  12 Fe 3.04
Fe  0.0000  0.5000  0.0000  2 V 2.15
V  0.0000  0.0000  0.0000  6 Fe 2.15
Fe  0.0000  0.0000  0.5000  2 V 2.15
Fe  0.5000  0.0000  0.0000  2 V 2.15

---

Below is a relaxed structure of Pr7Pt2Rh2, with properties calculated at the PBE-GGA level.

Formation energy from the elements, meV per atom: -663
Volume, Å³/f.u.: 308.7

abc: 4.0358 9.4630 9.4630
angles: 61.87 77.69 77.69
With the nearest neighbours (Å) after each atom.
Positions (direct):
Pr  0.5000  0.9877  0.0123  2 Rh 2.86
Pr  0.8089  0.0850  0.2973  3 Pt 2.94-3.07, 1 Rh 3.21
Pr  0.6100  0.4979  0.2821  3 Rh 2.99-3.13, 2 Pt 3.11
Pr  0.1911  0.7027  0.9150  3 Pt 2.94-3.07, 1 Rh 3.21
Rh  0.5000  0.3576  0.6424  6 Pr 2.92-2.99
Rh  0.0000  0.7787  0.2213  8 Pr 2.86-3.21
Pt  0.7399  0.8591  0.6612  7 Pr 2.94-3.19
Pr  0.3900  0.7179  0.5021  3 Rh 2.99-3.13, 2 Pt 3.11
Pt  0.2601  0.3388  0.1409  7 Pr 2.94-3.19
Pr  0.1211  0.1432  0.6146  2 Rh 2.92, 2 Pt 3.19
Pr  0.8789  0.3854  0.8568  2 Rh 2.92, 2 Pt 3.19

---

Below is a relaxed structure of LaSm7Dy2, with properties calculated at the PBE-GGA level.

Formation energy from the elements, meV per atom: 15
Volume, Å³/f.u.: 336.8
Energy relative to the lowest polymorph listed for this composition, meV per atom: 0

abc: 6.2770 10.8638 11.4619
angles: 137.54 56.91 140.27
With the nearest neighbours (Å) after each atom.
Positions (direct):
La  0.0000  0.0000  0.0000  10 Sm 3.62-3.65, 2 Dy 3.63
Sm  0.6990  0.3020  0.2023  7 Sm 3.60-3.65, 3 Dy 3.61-3.62, 2 La 3.62-3.64
Sm  0.3010  0.6980  0.7977  7 Sm 3.60-3.65, 3 Dy 3.61-3.62, 2 La 3.62-3.64
Sm  0.1969  0.8010  0.2022  2 Dy 3.60-3.62, 9 Sm 3.60-3.65, 1 La 3.65
Sm  0.8031  0.1990  0.7978  2 Dy 3.60-3.62, 9 Sm 3.60-3.65, 1 La 3.65
Sm  0.1014  0.8993  0.5985  7 Sm 3.60-3.63, 4 Dy 3.60-3.63, 1 La 3.64
Sm  0.5000  0.5000  0.0000  8 Sm 3.62-3.64, 2 La 3.62, 2 Dy 3.63
Dy  0.6011  0.3990  0.5986  10 Sm 3.60-3.63, 1 Dy 3.61, 1 La 3.63
Sm  0.8986  0.1007  0.4015  7 Sm 3.60-3.63, 4 Dy 3.60-3.63, 1 La 3.64
Dy  0.3989  0.6010  0.4014  10 Sm 3.60-3.63, 1 Dy 3.61, 1 La 3.63

---

Below is a relaxed structure of BeBr3, with properties calculated at the PBE-GGA level.

Volume, Å³/f.u.: 92.6
Energy relative to the lowest polymorph listed for this composition, meV per atom: 1126

abc: 5.7009 5.7009 5.7009
angles: 90.00 90.00 90.00
With the nearest neighbours (Å) after each atom.
Positions (direct):
Br  0.2500  0.5000  0.0000  2 Br 2.85, 4 Be 3.19
Br  0.0000  0.7500  0.5000  2 Br 2.85, 4 Be 3.19
Br  0.7500  0.5000  0.0000  2 Br 2.85, 4 Be 3.19
Br  0.0000  0.2500  0.5000  2 Br 2.85, 4 Be 3.19
Br  0.5000  0.0000  0.7500  2 Br 2.85, 4 Be 3.19
Be  0.0000  0.0000  0.0000  12 Br 3.19
Br  0.5000  0.0000  0.2500  2 Br 2.85, 4 Be 3.19
Be  0.5000  0.5000  0.5000  12 Br 3.19

---

Below is a relaxed structure of La3HfSi, with properties calculated at the PBE-GGA level.

Volume, Å³/f.u.: 174.0
Energy relative to the lowest polymorph listed for this composition, meV per atom: 276

abc: 5.5829 5.5829 5.5829
angles: 90.00 90.00 90.00
With the nearest neighbours (Å) after each atom.
Positions (direct):
Hf  0.0000  0.0000  0.0000  6 La 2.79
Si  0.5000  0.5000  0.5000  12 La 3.95
La  0.0000  0.5000  0.0000  2 Hf 2.79
La  0.5000  0.0000  0.0000  2 Hf 2.79
La  0.0000  0.0000  0.5000  2 Hf 2.79

---

Below is a relaxed structure of Li2Mg4Pd, with properties calculated at the PBE-GGA level.

Formation energy from the elements, meV per atom: -197
Volume, Å³/f.u.: 137.3

abc: 4.5925 4.5925 7.9726
angles: 73.26 73.26 60.00
With the nearest neighbours (Å) after each atom.
Positions (direct):
Li  0.7412  0.7412  0.7763  7 Mg 2.66-2.90
Mg  0.8736  0.8736  0.3793  1 Pd 2.85, 4 Li 2.90-2.98
Li  0.2588  0.2588  0.2237  7 Mg 2.66-2.90
Mg  0.1264  0.1264  0.6207  1 Pd 2.85, 4 Li 2.90-2.98
Mg  0.3766  0.3766  0.8701  4 Li 2.66-2.74, 3 Pd 2.83
Mg  0.6234  0.6234  0.1299  4 Li 2.66-2.74, 3 Pd 2.83
Pd  0.0000  0.0000  0.0000  8 Mg 2.83-2.85, 6 Li 3.14